Version one
Here is a geometry-optimized YTmAl structure from Alexandria via LeMat-Bulk. Energies are from PBE.

Computed properties:
* symmetry: P4/nmm (129)

Cell lengths 4.5080, 4.5080, 8.0685 Å; angles 90.00, 90.00, 90.00 degrees
With the nearest neighbours (Å) after each atom.
Positions (direct):
Y1 0.2500 0.7500 0.0000  4 Al 3.13, 4 Y 3.19
Y2 0.7500 0.2500 0.0000  4 Al 3.13, 4 Y 3.19
Tm1 0.2500 0.2500 0.3581  5 Al 3.01-3.27
Tm2 0.7500 0.7500 0.6419  5 Al 3.01-3.27
Al1 0.2500 0.2500 0.7317  5 Tm 3.01-3.27, 4 Y 3.13
Al2 0.7500 0.7500 0.2683  5 Tm 3.01-3.27, 4 Y 3.13

---

Version two
Here is a geometry-optimized YTmAl structure from Alexandria via LeMat-Bulk. Energies are from PBE.

Computed properties:
* symmetry: F-43m (216)

Cell lengths 5.0292, 5.0292, 5.0292 Å; angles 60.00, 60.00, 60.00 degrees
With the nearest neighbours (Å) after each atom.
Positions (direct):
Y1 0.0000 0.0000 0.0000  4 Al 3.08
Tm1 0.5000 0.5000 0.5000  4 Al 3.08
Al1 0.2500 0.2500 0.2500  4 Tm 3.08, 4 Y 3.08

---

Energy relative to the most stable one, in meV per atom: version one 0; version two 109

---

Version one
Here is a geometry-optimized YTmAl structure from Alexandria via LeMat-Bulk. Energies are from PBE.

Computed properties:
* symmetry: P3m1 (156)

Cell lengths 5.0403, 5.0403, 3.5482 Å; angles 90.00, 90.00, 120.00 degrees
With the nearest neighbours (Å) after each atom.
Positions (direct):
Y1 0.0000 0.0000 0.0000  3 Al 3.11, 3 Tm 3.31
Tm1 0.6667 0.3333 0.5580  3 Al 3.04, 3 Y 3.31
Al1 0.3333 0.6667 0.3084  3 Tm 3.04, 3 Y 3.11

---

Version two
Here is a geometry-optimized YTmAl structure from Alexandria via LeMat-Bulk. Energies are from PBE.

Computed properties:
* symmetry: I4mm (107)

Cell lengths 7.0908, 7.0908, 7.0908 Å; angles 152.01, 152.01, 39.99 degrees
With the nearest neighbours (Å) after each atom.
Positions (direct):
Y1 0.0000 0.0000 0.0000  4 Al 3.15, 4 Y 3.43
Tm1 0.7022 0.7022 0.0000  4 Al 3.12, 4 Tm 3.43
Al1 0.3490 0.3490 0.0000  4 Tm 3.12, 4 Y 3.15, 4 Al 3.43

---

Energy relative to the most stable one, in meV per atom: version one 109; version two 0

---

Version one
Here is a geometry-optimized Y2Tm3Al2 structure from Alexandria via LeMat-Bulk. Energies are from PBE.

Computed properties:
* symmetry: Cmmm (65)

Cell lengths 15.9988, 15.9988, 3.4436 Å; angles 90.00, 90.00, 167.67 degrees
With the nearest neighbours (Å) after each atom.
Positions (direct):
Y1 0.2014 0.7986 0.0000  6 Y 3.44-3.54, 4 Tm 3.54
Y2 0.7986 0.2014 0.0000  6 Y 3.44-3.54, 4 Tm 3.54
Tm1 0.3795 0.6205 0.5000  4 Al 3.09, 4 Tm 3.44
Tm2 0.5000 0.5000 0.5000  8 Al 3.10, 4 Tm 3.44
Tm3 0.6205 0.3795 0.5000  4 Al 3.09, 4 Tm 3.44
Al1 0.0604 0.9396 0.0000  8 Tm 3.09-3.10, 4 Al 3.44
Al2 0.9396 0.0604 0.0000  8 Tm 3.09-3.10, 4 Al 3.44

---

Version two
Here is a geometry-optimized Y2Tm3Al2 structure from Alexandria via LeMat-Bulk. Energies are from PBE.

Computed properties:
* symmetry: P-1 (2)

Cell lengths 5.2329, 5.2334, 8.3127 Å; angles 108.31, 90.05, 119.96 degrees
With the nearest neighbours (Å) after each atom.
Positions (direct):
Y1 0.0823 0.1651 0.2481  4 Al 3.11-3.15, 3 Tm 3.41
Y2 0.9177 0.8349 0.7519  4 Al 3.11-3.15, 3 Tm 3.41
Tm1 0.3478 0.6957 0.0435  1 Al 3.01, 3 Tm 3.10
Tm2 0.5000 0.0000 0.5000  6 Al 3.25-3.26, 2 Tm 3.54, 6 Y 3.59-3.60
Tm3 0.6522 0.3043 0.9565  1 Al 3.01, 3 Tm 3.10
Al1 0.2190 0.4372 0.6553  4 Tm 3.01-3.26, 4 Y 3.11-3.15
Al2 0.7810 0.5628 0.3447  4 Tm 3.01-3.26, 4 Y 3.11-3.15

---

Energy relative to the most stable one, in meV per atom: version one 56; version two 0

---

Version one
Here is a geometry-optimized Y2TmAl structure from Alexandria via LeMat-Bulk. Energies are from PBE.

Computed properties:
* symmetry: Fm-3m (225)

Cell lengths 5.3404, 5.3404, 5.3404 Å; angles 60.00, 60.00, 60.00 degrees
With the nearest neighbours (Å) after each atom.
Positions (direct):
Y1 0.2500 0.2500 0.2500  4 Al 3.27, 4 Tm 3.27
Y2 0.7500 0.7500 0.7500  4 Al 3.27, 4 Tm 3.27
Tm1 0.0000 0.0000 0.0000  8 Y 3.27
Al1 0.5000 0.5000 0.5000  8 Y 3.27

---

Version two
Here is a geometry-optimized Y2TmAl structure from Alexandria via LeMat-Bulk. Energies are from PBE.

Computed properties:
* symmetry: Pmmn (59)

Cell lengths 5.3204, 6.6905, 6.0215 Å; angles 90.00, 90.00, 90.00 degrees
With the nearest neighbours (Å) after each atom.
Positions (direct):
Y1 0.2500 0.0045 0.1663  4 Tm 3.25-3.62, 4 Y 3.29-3.41, 4 Al 3.29-3.48
Y2 0.2500 0.4955 0.1663  4 Tm 3.25-3.62, 4 Y 3.29-3.41, 4 Al 3.29-3.48
Y3 0.7500 0.5045 0.8337  4 Tm 3.25-3.62, 4 Y 3.29-3.41, 4 Al 3.29-3.48
Y4 0.7500 0.9955 0.8337  4 Tm 3.25-3.62, 4 Y 3.29-3.41, 4 Al 3.29-3.48
Tm1 0.2500 0.2500 0.6314  4 Al 3.19-3.35, 6 Y 3.25-3.39
Tm2 0.7500 0.7500 0.3686  4 Al 3.19-3.35, 6 Y 3.25-3.39
Al1 0.2500 0.7500 0.6613  4 Tm 3.19-3.35, 8 Y 3.29-3.48
Al2 0.7500 0.2500 0.3387  4 Tm 3.19-3.35, 8 Y 3.29-3.48

---

Version three
Here is a geometry-optimized Y2TmAl structure from Alexandria via LeMat-Bulk. Energies are from PBE.

Computed properties:
* symmetry: P4/mmm (123)

Cell lengths 4.7654, 4.7654, 4.7244 Å; angles 90.00, 90.00, 90.00 degrees
With the nearest neighbours (Å) after each atom.
Positions (direct):
Y1 0.0000 0.5000 0.0000  4 Tm 3.36, 4 Al 3.36, 4 Y 3.37
Y2 0.5000 0.0000 0.0000  4 Tm 3.36, 4 Al 3.36, 4 Y 3.37
Tm1 0.0000 0.0000 0.5000  8 Y 3.36, 4 Al 3.37
Al1 0.5000 0.5000 0.5000  8 Y 3.36, 4 Tm 3.37

---

Version four
Here is a geometry-optimized Y2TmAl structure from Alexandria via LeMat-Bulk. Energies are from PBE.

Computed properties:
* symmetry: P2_1/m (11)

Cell lengths 6.6741, 5.0911, 6.7528 Å; angles 90.00, 105.26, 90.00 degrees
With the nearest neighbours (Å) after each atom.
Positions (direct):
Y1 0.1219 0.2500 0.2303  3 Al 3.07-3.20, 2 Tm 3.41
Y2 0.3085 0.7500 0.5786  3 Al 3.18-3.21, 2 Tm 3.37-3.48, 3 Y 3.45-3.47
Y3 0.6915 0.2500 0.4214  3 Al 3.18-3.21, 2 Tm 3.37-3.48, 3 Y 3.45-3.47
Y4 0.8781 0.7500 0.7697  3 Al 3.07-3.20, 2 Tm 3.41
Tm1 0.3971 0.7500 0.0938  1 Al 3.04, 2 Tm 3.30, 3 Y 3.37-3.41
Tm2 0.6029 0.2500 0.9062  1 Al 3.04, 2 Tm 3.30, 3 Y 3.37-3.41
Al1 0.1309 0.2500 0.7587  1 Tm 3.04, 6 Y 3.07-3.21
Al2 0.8691 0.7500 0.2413  1 Tm 3.04, 6 Y 3.07-3.21

---

Energy relative to the most stable one, in meV per atom: version one 131; version two 32; version three 16; version four 0

---

Version one
Here is a geometry-optimized YTm3Al structure from Alexandria via LeMat-Bulk. Energies are from PBE.

Computed properties:
* symmetry: C2/m (12)

Cell lengths 6.6691, 6.6691, 12.3113 Å; angles 95.37, 95.37, 30.74 degrees
With the nearest neighbours (Å) after each atom.
Positions (direct):
Y1 0.2249 0.2249 0.2482  2 Al 3.16, 1 Tm 3.46, 2 Y 3.54
Y2 0.7751 0.7751 0.7518  2 Al 3.16, 1 Tm 3.46, 2 Y 3.54
Tm1 0.0325 0.0325 0.6935  2 Al 3.14, 5 Tm 3.34-3.51, 1 Y 3.46
Tm2 0.1410 0.1410 0.9516  4 Al 3.07-3.08, 3 Tm 3.34-3.43
Tm3 0.3645 0.3645 0.5175  9 Tm 3.40-3.55, 3 Y 3.61-3.66
Tm4 0.6355 0.6355 0.4825  9 Tm 3.40-3.55, 3 Y 3.61-3.66
Tm5 0.8590 0.8590 0.0484  4 Al 3.07-3.08, 3 Tm 3.34-3.43
Tm6 0.9675 0.9675 0.3065  2 Al 3.14, 5 Tm 3.34-3.51, 1 Y 3.46
Al1 0.4510 0.4510 0.8779  6 Tm 3.07-3.14, 1 Al 3.15, 2 Y 3.16
Al2 0.5490 0.5490 0.1221  6 Tm 3.07-3.14, 1 Al 3.15, 2 Y 3.16

---

Version two
Here is a geometry-optimized YTm3Al structure from Alexandria via LeMat-Bulk. Energies are from PBE.

Computed properties:
* symmetry: C2/c (15)

Cell lengths 9.4165, 9.4165, 6.5844 Å; angles 96.23, 96.23, 90.49 degrees
With the nearest neighbours (Å) after each atom.
Positions (direct):
Y1 0.0739 0.7085 0.8677  1 Al 2.98, 1 Tm 3.30
Y2 0.2915 0.9261 0.6323  1 Al 2.98, 1 Tm 3.30
Y3 0.7085 0.0739 0.3677  1 Al 2.98, 1 Tm 3.30
Y4 0.9261 0.2915 0.1323  1 Al 2.98, 1 Tm 3.30
Tm1 0.0308 0.1787 0.6165  1 Al 3.23, 3 Y 3.37-3.51, 3 Tm 3.42-3.56
Tm2 0.1787 0.0308 0.1165  1 Al 3.23, 3 Y 3.37-3.51, 3 Tm 3.42-3.56
Tm3 0.1894 0.5064 0.4807  1 Al 2.84
Tm4 0.2390 0.4013 0.9754  3 Al 3.00-3.35, 1 Tm 3.23
Tm5 0.4013 0.2390 0.4754  3 Al 3.00-3.35, 1 Tm 3.23
Tm6 0.4936 0.8106 0.0193  1 Al 2.84
Tm7 0.5064 0.1894 0.9807  1 Al 2.84
Tm8 0.5987 0.7610 0.5246  3 Al 3.00-3.35, 1 Tm 3.23
Tm9 0.7610 0.5987 0.0246  3 Al 3.00-3.35, 1 Tm 3.23
Tm10 0.8106 0.4936 0.5193  1 Al 2.84
Tm11 0.8213 0.9692 0.8835  1 Al 3.23, 3 Y 3.37-3.51, 3 Tm 3.42-3.56
Tm12 0.9692 0.8213 0.3835  1 Al 3.23, 3 Y 3.37-3.51, 3 Tm 3.42-3.56
Al1 0.2770 0.7230 0.2500  2 Tm 2.84, 2 Y 2.98, 1 Al 3.08
Al2 0.4927 0.5073 0.7500  6 Tm 3.00-3.19, 3 Al 3.08-3.30
Al3 0.5073 0.4927 0.2500  6 Tm 3.00-3.19, 3 Al 3.08-3.30
Al4 0.7230 0.2770 0.7500  2 Tm 2.84, 2 Y 2.98, 1 Al 3.08

---

Energy relative to the most stable one, in meV per atom: version one 0; version two 177

---

Version one
Here is a geometry-optimized YTm4Al structure from Alexandria via LeMat-Bulk. Energies are from PBE.

Computed properties:
* symmetry: C2/c (15)

Cell lengths 8.0681, 8.0681, 6.1509 Å; angles 99.56, 99.56, 115.50 degrees
With the nearest neighbours (Å) after each atom.
Positions (direct):
Y1 0.0902 0.9098 0.7500  10 Tm 3.41-3.77
Y2 0.9098 0.0902 0.2500  10 Tm 3.41-3.77
Tm1 0.1003 0.3423 0.8788  2 Al 3.20-3.21, 4 Tm 3.21-3.52, 2 Y 3.41-3.42
Tm2 0.2157 0.5862 0.4580  2 Al 3.06-3.07, 3 Tm 3.21-3.32
Tm3 0.3423 0.1003 0.3788  2 Al 3.20-3.21, 4 Tm 3.21-3.52, 2 Y 3.41-3.42
Tm4 0.4138 0.7843 0.0420  2 Al 3.06-3.07, 3 Tm 3.21-3.32
Tm5 0.5862 0.2157 0.9580  2 Al 3.06-3.07, 3 Tm 3.21-3.32
Tm6 0.6577 0.8997 0.6212  2 Al 3.20-3.21, 4 Tm 3.21-3.52, 2 Y 3.41-3.42
Tm7 0.7843 0.4138 0.5420  2 Al 3.06-3.07, 3 Tm 3.21-3.32
Tm8 0.8997 0.6577 0.1212  2 Al 3.20-3.21, 4 Tm 3.21-3.52, 2 Y 3.41-3.42
Al1 0.4993 0.5007 0.2500  8 Tm 3.06-3.21, 2 Al 3.08
Al2 0.5007 0.4993 0.7500  8 Tm 3.06-3.21, 2 Al 3.08

---

Version two
Here is a geometry-optimized YTm4Al structure from Alexandria via LeMat-Bulk. Energies are from PBE.

Computed properties:
* symmetry: P4/mmm (123)

Cell lengths 3.4900, 3.4900, 13.8422 Å; angles 90.00, 90.00, 90.00 degrees
With the nearest neighbours (Å) after each atom.
Positions (direct):
Y1 0.0000 0.0000 0.0000  4 Y 3.49, 8 Tm 3.52
Tm1 0.0000 0.0000 0.3634  4 Al 3.11
Tm2 0.0000 0.0000 0.6366  4 Al 3.11
Tm3 0.5000 0.5000 0.1817  8 Tm 3.49-3.52, 4 Y 3.52
Tm4 0.5000 0.5000 0.8183  8 Tm 3.49-3.52, 4 Y 3.52
Al1 0.5000 0.5000 0.5000  8 Tm 3.11

---

Energy relative to the most stable one, in meV per atom: version one 83; version two 0